This record from Alexandria via LeMat-Bulk describes an optimized crystal structure of Dy2Er3ScBi6. The functional is PBE-GGA.

Cell lengths 19.298, 4.429, 8.860 Å; angles 90.00, 103.22, 90.00 degrees
Space group C2/m (No. 12)
One atom of each set of equivalent atoms:
1 Dy 0.166 0.000 0.332 x4
2 Er 0.000 0.500 0.500 x2
3 Er 0.169 0.000 0.834 x4
4 Sc 0.000 0.500 0.000 x2
5 Bi 0.002 0.000 0.759 x4
6 Bi 0.163 0.500 0.080 x4
7 Bi 0.166 0.500 0.585 x4

Output
DOS(E_F) (states/eV/f.u.): 2.1
Electronic total energy (eV for the cell shown): -124.14
Formation enthalpy at 0 K (eV/atom): -0.80
ρ (Mg/m³): 9.57
Total magnetic moment (μB/f.u.): 0.0